Entry 1:
Computed, not measured: an optimized crystal structure of Th2TiGa3Pt4 at the PBE level of DFT.

Lattice parameters (Å, degrees): 4.3142 4.3142 10.4904 90.00 90.00 90.00
With the nearest neighbours (Å) after each atom.
Space group P-4m2 (No. 115)
Asymmetric unit:
Th1 0.0000 0.5000 0.2469  8 Pt 3.29-3.37, 6 Ga 3.29-3.42, 2 Ti 3.42
Ti1 0.0000 0.0000 0.5000  4 Pt 2.59
Ga1 0.0000 0.5000 0.8712  5 Pt 2.46-2.55
Ga2 0.5000 0.5000 0.5000  4 Pt 2.59
Pt1 0.0000 0.0000 0.0000  4 Ga 2.55
Pt2 0.0000 0.5000 0.6366  3 Ga 2.46-2.59, 2 Ti 2.59
Pt3 0.5000 0.5000 0.0000  4 Ga 2.55

Fermi-level density of states ... 10.01 states/eV/f.u.
E_form ... -0.94 eV per atom

---

Entry 2:
Computed, not measured: an optimized crystal structure of TmTh2Ga3Pt4 at the PBE level of DFT.

Lattice parameters (Å, degrees): 4.2519 4.2519 11.3838 90.00 90.00 90.00
With the nearest neighbours (Å) after each atom.
Space group P-4m2 (No. 115)
Asymmetric unit:
Tm1 0.0000 0.0000 0.0000  4 Pt 2.78, 4 Ga 3.01
Th1 0.0000 0.5000 0.7250  4 Ga 3.22, 8 Pt 3.29-3.33
Ga1 0.0000 0.5000 0.3763  5 Pt 2.50-2.55
Ga2 0.5000 0.5000 0.0000  4 Pt 2.78, 4 Tm 3.01
Pt1 0.0000 0.0000 0.5000  4 Ga 2.55
Pt2 0.0000 0.5000 0.1569  3 Ga 2.50-2.78, 2 Tm 2.78
Pt3 0.5000 0.5000 0.5000  4 Ga 2.55

Fermi-level density of states ... 8.38 states/eV/f.u.
E_form ... -0.97 eV per atom

---

Entry 3:
Computed, not measured: an optimized crystal structure of TmThGaPt at the PBE level of DFT.

Lattice parameters (Å, degrees): 4.4542 3.9737 10.7411 90.00 90.00 90.00
With the nearest neighbours (Å) after each atom.
Space group Amm2 (No. 38)
Asymmetric unit:
Tm1 0.0000 0.0000 0.0000  3 Ga 3.03-3.09, 4 Pt 3.04
Th1 0.5000 0.0000 0.2815  3 Pt 2.94-3.14, 4 Ga 3.07
Ga1 0.0000 0.0000 0.7126  2 Pt 2.80, 3 Tm 3.03-3.09, 4 Th 3.07
Pt1 0.5000 0.0000 0.5549  2 Ga 2.80, 1 Th 2.94, 4 Tm 3.04

Distance to the lowest polymorph of the same formula ... 0 meV/atom
Fermi-level density of states ... 3.75 states/eV/f.u.
E_form ... -0.88 eV per atom

---

Entry 4:
Computed, not measured: an optimized crystal structure of TmThGaPt at the PBE level of DFT.

Lattice parameters (Å, degrees): 7.1929 7.1929 7.1929 90.00 90.00 90.00
With the nearest neighbours (Å) after each atom.
Space group F-43m (No. 216)
Asymmetric unit:
Tm1 0.0000 0.0000 0.0000  4 Pt 3.11, 4 Ga 3.11
Th1 0.0000 0.0000 0.5000  4 Pt 3.11, 4 Ga 3.11
Ga1 0.2500 0.2500 0.2500  4 Th 3.11, 4 Tm 3.11
Pt1 0.2500 0.2500 0.7500  4 Th 3.11, 4 Tm 3.11

Distance to the lowest polymorph of the same formula ... 128 meV/atom
Fermi-level density of states ... 3.40 states/eV/f.u.
E_form ... -0.75 eV per atom

---

no.,magnetic moment (μB per formula unit)
1,0.00
2,0.00
3,0.00
4,0.00